1.
! GGA-PBE NaLaSnS2, optimized geometry; values from VASP
&SYSTEM
  ibrav = 0, nat = 5, ntyp = 4
/
ATOMIC_SPECIES
Na 22.99 Na.upf
La 138.91 La.upf
Sn 118.71 Sn.upf
S 32.06 S.upf
CELL_PARAMETERS angstrom
5.337 0.000 0.000
0.000 5.337 0.000
0.000 0.000 5.880
ATOMIC_POSITIONS crystal
Na 0.000 0.000 0.000
La 0.500 0.500 0.000
Sn 0.500 0.500 0.500
S 0.000 0.500 0.500
S 0.500 0.000 0.500
! D(E_F): 3.5 states/eV/cell
! energy relative to the elements, uncorrected: 0.044 eV per atom



2.
! GGA-PBE CeMg2Ga, optimized geometry; values from VASP
&SYSTEM
  ibrav = 0, nat = 4, ntyp = 3
/
ATOMIC_SPECIES
Ce 140.12 Ce.upf
Mg 24.30 Mg.upf
Ga 69.72 Ga.upf
CELL_PARAMETERS angstrom
4.430 0.000 0.000
0.000 4.430 0.000
0.000 0.000 4.851
ATOMIC_POSITIONS crystal
Ce 0.000 0.000 0.000
Mg 0.000 0.500 0.500
Mg 0.500 0.000 0.500
Ga 0.500 0.500 0.000
! D(E_F): 7.8 states/eV/cell
! calculated formation energy: -175 meV/atom
! energy above the lowest structure with this stoichiometry: 40 meV/atom



3.
! GGA-PBE KGe2Sb2, optimized geometry; values from VASP
&SYSTEM
  ibrav = 0, nat = 10, ntyp = 3
/
ATOMIC_SPECIES
K 39.10 K.upf
Ge 72.64 Ge.upf
Sb 121.76 Sb.upf
CELL_PARAMETERS angstrom
4.957 0.000 0.000
0.000 4.957 0.000
0.000 0.000 13.364
ATOMIC_POSITIONS crystal
K 0.000 0.000 0.000
K 0.500 0.500 0.500
Ge 0.000 0.500 0.250
Ge 0.000 0.500 0.750
Ge 0.500 0.000 0.250
Ge 0.500 0.000 0.750
Sb 0.000 0.000 0.353
Sb 0.000 0.000 0.647
Sb 0.500 0.500 0.147
Sb 0.500 0.500 0.853
! D(E_F): 3.9 states/eV/cell
! energy above the lowest structure with this stoichiometry: 0 meV/atom
! energy relative to the elements, uncorrected: -0.064 eV per atom



4.
! GGA-PBE HoAl2GePd4, optimized geometry; values from VASP
&SYSTEM
  ibrav = 0, nat = 8, ntyp = 4
/
ATOMIC_SPECIES
Ho 164.93 Ho.upf
Al 26.98 Al.upf
Ge 72.64 Ge.upf
Pd 106.42 Pd.upf
CELL_PARAMETERS angstrom
2.177 1.257 8.308
-2.177 1.257 8.308
0.000 -2.514 8.308
ATOMIC_POSITIONS crystal
Ho 0.000 0.000 0.000
Al 0.247 0.247 0.247
Al 0.753 0.753 0.753
Ge 0.500 0.500 0.500
Pd 0.132 0.132 0.132
Pd 0.399 0.399 0.399
Pd 0.601 0.601 0.601
Pd 0.868 0.868 0.868
! D(E_F): 4.1 states/eV/cell
! calculated formation energy: -715 meV/atom



5.
! GGA-PBE Ce2PrTh3N6, optimized geometry; values from VASP
&SYSTEM
  ibrav = 0, nat = 12, ntyp = 4
/
ATOMIC_SPECIES
Ce 140.12 Ce.upf
Pr 140.91 Pr.upf
Th 232.04 Th.upf
N 14.01 N.upf
CELL_PARAMETERS angstrom
3.158 -5.469 0.000
3.158 5.469 0.000
-2.100 0.000 5.930
ATOMIC_POSITIONS crystal
Ce 0.167 0.833 0.000
Ce 0.833 0.167 0.000
Pr 0.500 0.500 0.000
Th 0.000 0.000 0.500
Th 0.334 0.666 0.500
Th 0.666 0.334 0.500
N 0.070 0.414 0.744
N 0.240 0.240 0.254
N 0.414 0.070 0.744
N 0.586 0.930 0.256
N 0.760 0.760 0.746
N 0.930 0.586 0.256
! D(E_F): 8.4 states/eV/cell
! energy relative to the elements, uncorrected: -1.523 eV per atom



6.
! GGA-PBE Tm2Ga2BRh4, optimized geometry; values from VASP
&SYSTEM
  ibrav = 0, nat = 9, ntyp = 4
/
ATOMIC_SPECIES
Tm 168.93 Tm.upf
Ga 69.72 Ga.upf
B 10.81 B.upf
Rh 102.91 Rh.upf
CELL_PARAMETERS angstrom
-3.011 3.011 3.921
3.011 -3.011 3.921
3.011 3.011 -3.921
ATOMIC_POSITIONS crystal
Tm 0.250 0.750 0.500
Tm 0.750 0.250 0.500
Ga 0.200 0.200 0.000
Ga 0.800 0.800 0.000
B 0.500 0.500 0.000
Rh 0.252 0.252 0.504
Rh 0.252 0.748 0.000
Rh 0.748 0.252 0.000
Rh 0.748 0.748 0.496
! D(E_F): 3.9 states/eV/cell
! calculated formation energy: -744 meV/atom



7.
! GGA-PBE Nb2SbAu, optimized geometry; values from VASP
&SYSTEM
  ibrav = 0, nat = 16, ntyp = 3
/
ATOMIC_SPECIES
Nb 92.91 Nb.upf
Sb 121.76 Sb.upf
Au 196.97 Au.upf
CELL_PARAMETERS angstrom
7.552 0.000 0.000
0.000 7.552 0.000
0.000 0.000 5.770
ATOMIC_POSITIONS crystal
Nb 0.250 0.250 0.125
Nb 0.250 0.250 0.625
Nb 0.250 0.750 0.375
Nb 0.250 0.750 0.875
Nb 0.750 0.250 0.375
Nb 0.750 0.250 0.875
Nb 0.750 0.750 0.125
Nb 0.750 0.750 0.625
Sb 0.000 0.000 0.000
Sb 0.000 0.500 0.250
Sb 0.500 0.000 0.750
Sb 0.500 0.500 0.500
Au 0.000 0.000 0.500
Au 0.000 0.500 0.750
Au 0.500 0.000 0.250
Au 0.500 0.500 0.000
! D(E_F): 4.2 states/eV/cell
! energy relative to the elements, uncorrected: 0.221 eV per atom



8.
! GGA-PBE BaSbSe, optimized geometry; values from VASP
&SYSTEM
  ibrav = 0, nat = 3, ntyp = 3
/
ATOMIC_SPECIES
Ba 137.33 Ba.upf
Sb 121.76 Sb.upf
Se 78.96 Se.upf
CELL_PARAMETERS angstrom
5.053 0.000 0.000
-2.527 4.376 0.000
0.000 0.000 4.535
ATOMIC_POSITIONS crystal
Ba 0.000 0.000 0.000
Sb 0.667 0.333 0.499
Se 0.333 0.667 0.501
! D(E_F): 2.2 states/eV/cell
! energy relative to the elements, uncorrected: -0.817 eV per atom



9.
! GGA-PBE Y2InTe, optimized geometry; values from VASP
&SYSTEM
  ibrav = 0, nat = 16, ntyp = 3
/
ATOMIC_SPECIES
Y 88.91 Y.upf
In 114.82 In.upf
Te 127.60 Te.upf
CELL_PARAMETERS angstrom
7.662 0.000 0.000
0.000 7.662 0.000
0.000 0.000 7.662
ATOMIC_POSITIONS crystal
Y 0.000 0.000 0.000
Y 0.000 0.500 0.500
Y 0.250 0.250 0.250
Y 0.250 0.750 0.750
Y 0.500 0.000 0.500
Y 0.500 0.500 0.000
Y 0.750 0.250 0.750
Y 0.750 0.750 0.250
In 0.000 0.000 0.500
In 0.000 0.500 0.000
In 0.500 0.000 0.000
In 0.500 0.500 0.500
Te 0.250 0.250 0.750
Te 0.250 0.750 0.250
Te 0.750 0.250 0.250
Te 0.750 0.750 0.750
! D(E_F): 24.1 states/eV/cell
! energy above the lowest structure with this stoichiometry: 811 meV/atom
! energy relative to the elements, uncorrected: -0.137 eV per atom



10.
! GGA-PBE Ca2Sn2Pd3, optimized geometry; values from VASP
&SYSTEM
  ibrav = 0, nat = 14, ntyp = 3
/
ATOMIC_SPECIES
Ca 40.08 Ca.upf
Sn 118.71 Sn.upf
Pd 106.42 Pd.upf
CELL_PARAMETERS angstrom
11.844 0.000 0.000
0.000 3.927 0.000
-3.097 0.000 6.712
ATOMIC_POSITIONS crystal
Ca 0.113 0.000 0.266
Ca 0.387 0.500 0.734
Ca 0.613 0.500 0.266
Ca 0.887 0.000 0.734
Sn 0.164 0.000 0.741
Sn 0.336 0.500 0.259
Sn 0.664 0.500 0.741
Sn 0.836 0.000 0.259
Pd 0.000 0.500 0.500
Pd 0.108 0.500 0.941
Pd 0.392 0.000 0.059
Pd 0.500 0.000 0.500
Pd 0.608 0.000 0.941
Pd 0.892 0.500 0.059
! D(E_F): 4.8 states/eV/cell
! calculated formation energy: -708 meV/atom



11.
! GGA-PBE Sm5ErHg4, optimized geometry; values from VASP
&SYSTEM
  ibrav = 0, nat = 10, ntyp = 3
/
ATOMIC_SPECIES
Sm 150.36 Sm.upf
Er 167.26 Er.upf
Hg 200.59 Hg.upf
CELL_PARAMETERS angstrom
3.749 0.000 0.000
0.000 3.749 0.000
0.000 0.000 20.233
ATOMIC_POSITIONS crystal
Sm 0.000 0.000 0.000
Sm 0.000 0.000 0.190
Sm 0.000 0.000 0.381
Sm 0.000 0.000 0.619
Sm 0.000 0.000 0.810
Er 0.500 0.500 0.500
Hg 0.500 0.500 0.095
Hg 0.500 0.500 0.288
Hg 0.500 0.500 0.712
Hg 0.500 0.500 0.905
! D(E_F): 12.0 states/eV/cell
! calculated formation energy: -362 meV/atom



12.
! GGA-PBE ZrRe2Si2, optimized geometry; values from VASP
&SYSTEM
  ibrav = 0, nat = 10, ntyp = 3
/
ATOMIC_SPECIES
Zr 91.22 Zr.upf
Re 186.21 Re.upf
Si 28.09 Si.upf
CELL_PARAMETERS angstrom
7.165 0.000 0.000
0.000 7.165 0.000
0.000 0.000 2.970
ATOMIC_POSITIONS crystal
Zr 0.000 0.000 0.000
Zr 0.500 0.500 0.000
Re 0.149 0.351 0.500
Re 0.351 0.851 0.500
Re 0.649 0.149 0.500
Re 0.851 0.649 0.500
Si 0.141 0.641 0.000
Si 0.359 0.141 0.000
Si 0.641 0.859 0.000
Si 0.859 0.359 0.000
! D(E_F): 12.5 states/eV/cell
! energy relative to the elements, uncorrected: -0.285 eV per atom



Please write out number 11 again, unchanged.
! GGA-PBE Sm5ErHg4, optimized geometry; values from VASP
&SYSTEM
  ibrav = 0, nat = 10, ntyp = 3
/
ATOMIC_SPECIES
Sm 150.36 Sm.upf
Er 167.26 Er.upf
Hg 200.59 Hg.upf
CELL_PARAMETERS angstrom
3.749 0.000 0.000
0.000 3.749 0.000
0.000 0.000 20.233
ATOMIC_POSITIONS crystal
Sm 0.000 0.000 0.000
Sm 0.000 0.000 0.190
Sm 0.000 0.000 0.381
Sm 0.000 0.000 0.619
Sm 0.000 0.000 0.810
Er 0.500 0.500 0.500
Hg 0.500 0.500 0.095
Hg 0.500 0.500 0.288
Hg 0.500 0.500 0.712
Hg 0.500 0.500 0.905
! D(E_F): 12.0 states/eV/cell
! calculated formation energy: -362 meV/atom



Question: The highest D(E_F) belongs to which entry?
Answer: Y2InTe



Question: Look up the D(E_F) of the sixth one.
Answer: 3.9 states/eV/cell



Question: Which of these has the lowest D(E_F)?
Answer: BaSbSe